First-principles (PBEsol) data for KTaNiSe2 after structural relaxation, as listed in the Alexandria database.

Calculated values
**ΔE_f (raw)**: -0.1747 eV/atom
**Symmetry**: P4/mmm

a = 4.722 Å, b = 5.013 Å, c = 5.013 Å
α = 90.00°, β = 90.00°, γ = 90.00°
Sites, in units of the cell vectors:
Se 0.000 0.000 0.500
Ta 0.000 0.000 0.000
Se 0.000 0.500 0.000
K 0.500 0.500 0.500
Ni 0.500 0.000 0.000